# 1
VASP calculation (meta-GGA SCAN) on a crystal of OsRu3 relaxed with PBEsol.

Cell lengths 2.6708, 2.6708, 7.5768 Å; angles 90.00, 90.00, 90.00 degrees
Fractional positions:
1 Os 0.0000 0.0000 0.0000
2 Ru 0.5000 0.5000 0.2510
3 Ru 0.5000 0.5000 0.7490
4 Ru 0.0000 0.0000 0.5000

Calculated values
Energy relative to the elements = 0.132 eV per atom



# 2
VASP calculation (meta-GGA SCAN) on a crystal of NaMnSi2O6 relaxed with PBEsol.

Cell lengths 5.3793, 6.4252, 6.4252 Å; angles 84.19, 78.92, 78.92 degrees
Last column: magnetic moment on the atom in μB.
Fractional positions:
1 O 0.0186 0.6498 0.6360  0.01
2 O 0.3381 0.1926 0.0407  0.04
3 O 0.9814 0.3502 0.3640  0.01
4 Na 0.7500 0.7029 0.2971  0.00
5 Si 0.7445 0.6176 0.7951  0.01
6 Si 0.2555 0.3824 0.2049  0.01
7 O 0.4814 0.3640 0.3502  0.01
8 O 0.7002 0.0994 0.6223  0.03
9 O 0.8381 0.0407 0.1926  0.04
10 O 0.2998 0.9006 0.3777  0.03
11 O 0.5186 0.6360 0.6498  0.01
12 Mn 0.2500 0.9063 0.0937  3.70
13 O 0.6619 0.8074 0.9593  0.04
14 Na 0.2500 0.2971 0.7029  0.00
15 O 0.2002 0.6223 0.0994  0.03
16 Si 0.2445 0.7951 0.6176  0.01
17 O 0.7998 0.3777 0.9006  0.03
18 Si 0.7555 0.2049 0.3824  0.01
19 Mn 0.7500 0.0937 0.9063  3.70
20 O 0.1619 0.9593 0.8074  0.04

Calculated values
E_tot = -10.704 eV per atom